No. 1
VASP calculation (GGA-PBE) on a geometry-optimized Sb2TeAsCl structure.

a b c (Å): 5.272 5.272 5.460
angles (deg): 90.00 90.00 90.00
Sites, in units of the cell vectors:
Sb  0.000  0.500  0.000
Sb  0.500  0.000  0.000
Te  0.000  0.000  0.500
As  0.500  0.500  0.500
Cl  0.000  0.000  0.000

Calculated values
formation energy without anion corrections: 4.9 eV/f.u.
E: -2.602 eV/atom



No. 2
VASP calculation (GGA-PBE) on a geometry-optimized Sb2TeAsCl structure.

a b c (Å): 5.411 5.411 5.496
angles (deg): 90.00 90.00 90.00
Sites, in units of the cell vectors:
Sb  0.000  0.500  0.000
Sb  0.500  0.000  0.000
Te  0.000  0.000  0.500
As  0.000  0.000  0.000
Cl  0.500  0.500  0.500

Calculated values
formation energy without anion corrections: 2.6 eV/f.u.
E: -3.057 eV/atom



Q: What is the formation energy without anion corrections in the second record?
A: 2.6 eV/f.u.



Q: Among the records above, which one has the lowest E?
A: number 2